Entry 1:
Here is an optimized crystal structure of PmTiNbGe2 from the Alexandria database. Energies are from PBE-GGA.

Lattice parameters (Å, degrees): 4.0666 4.0666 6.7006 107.66 107.66 90.00
With the nearest neighbours (Å) after each atom.
Fractional positions:
Ge (0.6059, 0.6059, 0.2118)  1 Ge 2.56, 2 Nb 2.68, 2 Ti 2.68
Ti (0.7500, 0.2500, 0.5000)  4 Ge 2.68, 4 Nb 2.88
Ge (0.3941, 0.3941, 0.7882)  1 Ge 2.56, 2 Ti 2.68, 2 Nb 2.68
Pm (0.0000, 0.0000, 0.0000)  8 Ge 3.15
Nb (0.2500, 0.7500, 0.5000)  4 Ge 2.68, 4 Ti 2.88

Entry 2:
Here is an optimized crystal structure of Pr2NbGe from the Alexandria database. Energies are from PBE-GGA.

Lattice parameters (Å, degrees): 3.2840 3.2840 11.2494 81.61 81.61 60.00
With the nearest neighbours (Å) after each atom.
Fractional positions:
Nb (0.0000, 0.0000, 0.0000)  2 Pr 3.02, 6 Nb 3.28
Pr (0.0908, 0.0908, 0.7275)  1 Nb 3.02, 3 Ge 3.16, 6 Pr 3.28
Ge (0.5000, 0.5000, 0.5000)  6 Pr 3.16, 6 Ge 3.28
Pr (0.9092, 0.9092, 0.2725)  1 Nb 3.02, 3 Ge 3.16, 6 Pr 3.28

Entry 3:
Here is an optimized crystal structure of Pr5NbGe4 from the Alexandria database. Energies are from PBE-GGA.

Lattice parameters (Å, degrees): 4.0906 8.0553 9.2738 104.18 102.74 90.00
With the nearest neighbours (Å) after each atom.
Fractional positions:
Pr (0.8282, 0.1689, 0.6563)  4 Ge 2.96-3.02
Ge (0.6559, 0.0859, 0.3118)  1 Nb 2.73, 5 Pr 2.94-3.02
Pr (0.5000, 0.5000, 0.0000)  4 Ge 3.04
Ge (0.9976, 0.2198, 0.9952)  2 Nb 2.71, 2 Pr 2.94-2.99
Nb (0.5000, 0.0000, 0.0000)  6 Ge 2.71-2.73
Pr (0.8356, 0.6472, 0.6711)  3 Ge 2.94
Ge (0.0024, 0.7802, 0.0048)  2 Nb 2.71, 2 Pr 2.94-2.99
Pr (0.1718, 0.8311, 0.3437)  4 Ge 2.96-3.02
Pr (0.1644, 0.3528, 0.3289)  3 Ge 2.94
Ge (0.3441, 0.9141, 0.6882)  1 Nb 2.73, 5 Pr 2.94-3.02

no.,formation energy from the elements (eV per formula unit)
1,-3.260
2,1.693
3,-4.374